# 1
An optimized crystal structure of NaRuCl2, computed with PBE.

The calculation puts the raw formation energy at -0.25 eV per atom. The value obtained for the mass density is 3.3 g/cm3.

The space group is I-42d (No. 122) and the conventional cell measures 5.4844, 5.4844 and 12.9375 Å, with angles of 90.00, 90.00 and 90.00 degrees. The inequivalent atoms are Na at (0.0000, 0.0000, 0.0000), Ru at (0.0000, 0.0000, 0.5000) and Cl at (0.1903, 0.2500, 0.6250).

=====

# 2
An optimized crystal structure of Na3RuCl6, computed with PBE.

The calculation puts the raw formation energy at -1.25 eV per atom. The value obtained for the mass density is 2.7 g/cm3.

The space group is P2_1/c (No. 14) and the conventional cell measures 6.6980, 7.0604 and 11.8574 Å, with angles of 90.00, 124.26 and 90.00 degrees. The inequivalent atoms are Na at (0.0000, 0.0000, 0.0000), Na at (0.2797, 0.0854, 0.7484), Ru at (0.5000, 0.0000, 0.5000), Cl at (0.1446, 0.0454, 0.2754), Cl at (0.2730, 0.6750, 0.0633) and Cl at (0.4082, 0.2148, 0.0700).

=====

# 3
An optimized crystal structure of Na6RuCl12, computed with PBE.

The calculation puts the raw formation energy at -1.19 eV per atom. The value obtained for the mass density is 2.1 g/cm3.

The space group is R-3 (No. 148, hexagonal axes) and the conventional cell measures 11.7946, 11.7946 and 13.2884 Å, with angles of 90.00, 90.00 and 120.00 degrees. The inequivalent atoms are Na at (0.0319, 0.7741, 0.1118), Ru at (0.0000, 0.0000, 0.5000), Cl at (0.0260, 0.7915, 0.9022) and Cl at (0.0640, 0.8807, 0.3989).

=====

# 4
An optimized crystal structure of NaRuSCl2, computed with PBE.

The calculation puts the raw formation energy at -0.56 eV per atom. The value obtained for the mass density is 3.3 g/cm3.

The space group is P4/mmm (No. 123) and the conventional cell measures 5.0902, 5.0902 and 4.3884 Å, with angles of 90.00, 90.00 and 90.00 degrees. The inequivalent atoms are Na at (0.0000, 0.0000, 0.0000), Ru at (0.5000, 0.5000, 0.5000), S at (0.5000, 0.5000, 0.0000) and Cl at (0.0000, 0.5000, 0.5000).